No. 1
Entry from Alexandria: Sr2Sn6Au3 after structural relaxation (PBE).

Cell: 4.8666 8.5184 8.5184 Å, 120.00 90.00 90.00°
Fractional coordinates of all 11 atoms:
Sn 0.5000 0.6828 0.6828
Sn 0.5000 0.3172 0.0000
Sn 0.0000 0.7934 0.0000
Sn 0.0000 0.0000 0.7934
Sn 0.5000 0.0000 0.3172
Sn 0.0000 0.2066 0.2066
Sr 0.0000 0.6667 0.3333
Sr 0.0000 0.3333 0.6667
Au 0.5000 0.3645 0.3645
Au 0.5000 0.6355 0.0000
Au 0.5000 0.0000 0.6355

## Properties
- DFT formation energy (kJ/mol of formula units) = -438



No. 2
Entry from Alexandria: Sr2Sn5Au3 after structural relaxation (PBE).

Cell: 6.8156 9.5828 9.5828 Å, 75.66 69.17 69.17°
Fractional coordinates of all 20 atoms:
Sr 0.1264 0.6262 0.1211
Sr 0.3736 0.8789 0.3738
Sr 0.8736 0.3738 0.8789
Sr 0.6264 0.1211 0.6262
Sn 0.0032 0.7468 0.7468
Sn 0.8872 0.9756 0.2500
Sn 0.5032 0.7468 0.7468
Sn 0.7500 0.5000 0.5000
Sn 0.4968 0.2532 0.2532
Sn 0.3872 0.2500 0.9756
Sn 0.6128 0.7500 0.0244
Sn 0.1128 0.0244 0.7500
Sn 0.9968 0.2532 0.2532
Sn 0.2500 0.5000 0.5000
Au 0.3732 0.4918 0.7618
Au 0.2500 0.0000 0.0000
Au 0.7500 0.0000 0.0000
Au 0.6268 0.5082 0.2382
Au 0.8732 0.7618 0.4918
Au 0.1268 0.2382 0.5082

## Properties
- energy above the most stable polymorph in this dataset (kcal/mol of atoms) = 0.00
- DFT formation energy (kJ/mol of formula units) = -481